Record 1
An optimized crystal structure of Te2CF2, computed with PBE.

The formation energy (no corrections) is 0.385 eV/atom. The energy above the most stable polymorph in this dataset comes out at 0.075 eV/atom. Its theoretical density is 6.35 Mg/m³.

The structure belongs to space group P4/mbm (No. 127); the cell edges are 7.3437, 7.3437 and 2.9610 Å and the angles 90.00°, 90.00° and 90.00°. The inequivalent atoms are Te at (0.2010, 0.2990, 0.0000), C at (0.0000, 0.0000, 0.0000) and F at (0.1185, 0.6185, 0.5000).

---

Record 2
An optimized crystal structure of Nd2Tm3In3, computed with PBE.

Its formation enthalpy at 0 K is -7.84 kcal/mol of atoms. The energy above the most stable polymorph in this dataset comes out at 0.000 eV/atom. Its theoretical density is 8.44 Mg/m³.

The structure belongs to space group Pmmm (No. 47); the cell edges are 4.8911, 4.9662 and 9.2331 Å and the angles 90.00°, 90.00° and 90.00°. The inequivalent atoms are Nd at (0.0000, 0.0000, 0.2442), Tm at (0.5000, 0.0000, 0.5000), Tm at (0.5000, 0.5000, 0.2306), In at (0.0000, 0.5000, 0.0000), In at (0.0000, 0.5000, 0.5000) and In at (0.5000, 0.0000, 0.0000).

---

Record 3
An optimized crystal structure of VFeGe, computed with PBE.

Its formation enthalpy at 0 K is -5.75 kcal/mol of atoms. Its theoretical density is 7.66 Mg/m³.

The structure belongs to space group Ima2 (No. 46); the cell edges are 6.8210, 10.8028 and 6.3329 Å and the angles 90.00°, 90.00° and 90.00°. The inequivalent atoms are V at (0.2500, 0.0026, 0.0000), V at (0.2500, 0.2263, 0.3545), V at (0.2500, 0.6877, 0.8927), Fe at (0.0000, 0.0000, 0.3401), Fe at (0.0528, 0.6253, 0.2164), Ge at (0.0081, 0.6680, 0.5856) and Ge at (0.2500, 0.0439, 0.6000).

---

Record 4
An optimized crystal structure of ThScVRu, computed with PBE.

Its formation enthalpy at 0 K is -2.27 kcal/mol of atoms. Its theoretical density is 8.79 Mg/m³.

The structure belongs to space group F-43m (No. 216); the cell edges are 6.8703, 6.8703 and 6.8703 Å and the angles 90.00°, 90.00° and 90.00°. The inequivalent atoms are Th at (0.0000, 0.0000, 0.0000), Sc at (0.0000, 0.0000, 0.5000), V at (0.2500, 0.2500, 0.7500) and Ru at (0.2500, 0.2500, 0.2500).

---

Record 5
An optimized crystal structure of Pu2TcNi4Ge3, computed with PBE.

Its formation enthalpy at 0 K is -8.11 kcal/mol of atoms. Its theoretical density is 10.64 Mg/m³.

The structure belongs to space group P-4m2 (No. 115); the cell edges are 3.9956, 3.9956 and 10.1512 Å and the angles 90.00°, 90.00° and 90.00°. The inequivalent atoms are Pu at (0.0000, 0.5000, 0.2501), Tc at (0.0000, 0.0000, 0.5000), Ni at (0.0000, 0.0000, 0.0000), Ni at (0.0000, 0.5000, 0.6374), Ni at (0.5000, 0.5000, 0.0000), Ge at (0.0000, 0.5000, 0.8706) and Ge at (0.5000, 0.5000, 0.5000).

---

Record 6
An optimized crystal structure of LaBe3Cu, computed with PBE.

Its formation enthalpy at 0 K is 50.68 kcal/mol of atoms. The energy above the most stable polymorph in this dataset comes out at 2.056 eV/atom. Its theoretical density is 2.96 Mg/m³.

The structure belongs to space group Pm-3m (No. 221); the cell edges are 5.0502, 5.0502 and 5.0502 Å and the angles 90.00°, 90.00° and 90.00°. The inequivalent atoms are La at (0.0000, 0.0000, 0.0000), Be at (0.0000, 0.0000, 0.5000) and Cu at (0.5000, 0.5000, 0.5000).

---

Record 7
An optimized crystal structure of ZrRePt2C, computed with PBE.

Its formation enthalpy at 0 K is 6.24 kcal/mol of atoms. Its theoretical density is 14.85 Mg/m³.

The structure belongs to space group P4/mmm (No. 123); the cell edges are 4.1436, 4.1436 and 4.4259 Å and the angles 90.00°, 90.00° and 90.00°. The inequivalent atoms are Zr at (0.0000, 0.0000, 0.0000), Re at (0.5000, 0.5000, 0.0000), Pt at (0.0000, 0.5000, 0.5000) and C at (0.0000, 0.0000, 0.5000).

---

Record 8
An optimized crystal structure of PrTl2RuO6, computed with PBE.

The formation energy (no corrections) is -1.245 eV/atom. Its theoretical density is 6.05 Mg/m³.

The structure belongs to space group P-3m1 (No. 164); the cell edges are 6.2818, 6.2818 and 6.0000 Å and the angles 90.00°, 90.00° and 120.00°. The inequivalent atoms are Pr at (0.0000, 0.0000, 0.0000), Tl at (0.3333, 0.6667, 0.4838), Ru at (0.0000, 0.0000, 0.5000) and O at (0.1429, 0.2858, 0.6937).